Record 1
Material: CsErNb6Br18
Method: DFT, PBE-GGA
State: relaxed

Lattice parameters (Å, degrees): 9.9336 9.9336 18.4587 90.00 90.00 120.00
Space group P-31c (No. 163)
Unique sites:
Cs1 0.3333 0.6667 0.2500 (multiplicity 2)
Er1 0.3333 0.6667 0.7500 (multiplicity 2)
Nb1 0.0397 0.1884 0.5653 (multiplicity 12)
Br1 0.0477 0.2319 0.3401 (multiplicity 12)
Br2 0.0885 0.4489 0.6624 (multiplicity 12)
Br3 0.1367 0.4147 0.0008 (multiplicity 12)

Output
Formation energy from raw total energies   -1127 meV per atom
Total energy   -4.817 eV/atom
V   1577 Å³ per cell

Record 2
Material: Be2NbCdCl
Method: DFT, PBE-GGA
State: relaxed

Lattice parameters (Å, degrees): 4.384 4.384 5.548 90.00 90.00 90.00
Space group P4/mmm (No. 123)
Unique sites:
Be1 0.000 0.500 0.000 (multiplicity 2)
Nb1 0.000 0.000 0.500 (multiplicity 1)
Cd1 0.000 0.000 0.000 (multiplicity 1)
Cl1 0.500 0.500 0.500 (multiplicity 1)

Output
N(E_F)   2.878 states/eV/cell
Formation energy from raw total energies   1163 meV per atom
E above lowest polymorph   0 meV per atom
Total energy   -2.893 eV/atom
V   107 Å³ per cell

Record 3
Material: ReSb2Br
Method: DFT, PBE-GGA
State: relaxed

Lattice parameters (Å, degrees): 5.267 5.267 3.131 90.00 90.00 90.00
Space group P4/mmm (No. 123)
Unique sites:
Re1 0.000 0.000 0.000 (multiplicity 1)
Sb1 0.000 0.500 0.500 (multiplicity 2)
Br1 0.500 0.500 0.000 (multiplicity 1)

Output
N(E_F)   3.743 states/eV/cell
Formation energy from raw total energies   920 meV per atom
E above lowest polymorph   707 meV per atom
Total energy   -4.671 eV/atom
V   87 Å³ per cell

Record 4
Material: HgSb2S2Cl2
Method: DFT, PBE-GGA
State: relaxed

Lattice parameters (Å, degrees): 3.761 7.425 8.826 65.52 88.08 76.17
Space group P-1 (No. 2)
Unique sites:
Hg1 0.000 0.000 0.000 (multiplicity 1)
Sb1 0.404 0.224 0.424 (multiplicity 2)
S1 0.114 0.769 0.389 (multiplicity 2)
Cl1 0.269 0.264 0.995 (multiplicity 2)

Output
Formation energy from raw total energies   -301 meV per atom
Total energy   -3.228 eV/atom
V   217 Å³ per cell

Record 5
Material: LiLu2Ga
Method: DFT, PBE-GGA
State: relaxed

Lattice parameters (Å, degrees): 4.856 4.856 3.744 90.00 90.00 90.00
Space group P4/mmm (No. 123)
Unique sites:
Li1 0.000 0.000 0.000 (multiplicity 1)
Lu1 0.000 0.500 0.500 (multiplicity 2)
Ga1 0.500 0.500 0.000 (multiplicity 1)

Output
Energy relative to the elements   -0.29 eV/atom
N(E_F)   2.732 states/eV/cell
Total energy   -3.781 eV/atom
V   88 Å³ per cell